# 1
## K2TaRe (PBE-GGA)

Data for an optimized crystal structure of K2TaRe.

It has space group Pmmm (No. 47), with a = 2.773 Å, b = 5.429 Å, c = 6.162 Å, α = 90.00°, β = 90.00° and γ = 90.00°. The asymmetric unit holds K at (0.000, 0.247, 0.000), Ta at (0.500, 0.500, 0.500) and Re at (0.500, 0.000, 0.500).

The value obtained for the energy of formation is 1.484 eV/atom. Its energy above the most stable polymorph in this dataset is 771.5 meV per atom.

# 2
## Cu2NiRu (PBE-GGA)

Data for an optimized crystal structure of Cu2NiRu.

It has space group P4/mmm (No. 123), with a = 4.310 Å, b = 4.310 Å, c = 2.679 Å, α = 90.00°, β = 90.00° and γ = 90.00°. The asymmetric unit holds Cu at (0.000, 0.500, 0.000), Ni at (0.000, 0.000, 0.500) and Ru at (0.500, 0.500, 0.500).

The value obtained for the energy of formation is 0.308 eV/atom. Its energy above the most stable polymorph in this dataset is 190.6 meV per atom.

# 3
## Ta2AsSe (PBE-GGA)

Data for an optimized crystal structure of Ta2AsSe.

It has space group R-3m (No. 166, hexagonal axes), with a = 3.2252 Å, b = 3.2252 Å, c = 23.5862 Å, α = 90.00°, β = 90.00° and γ = 120.00°. The asymmetric unit holds Ta at (0.0000, 0.0000, 0.2485), As at (0.0000, 0.0000, 0.5000) and Se at (0.0000, 0.0000, 0.0000).

Its energy above the most stable polymorph in this dataset is 357.3 meV per atom.

# 4
## TbDySnIr (PBE-GGA)

Data for an optimized crystal structure of TbDySnIr.

It has space group F-43m (No. 216), with a = 7.211 Å, b = 7.211 Å, c = 7.211 Å, α = 90.00°, β = 90.00° and γ = 90.00°. The asymmetric unit holds Tb at (0.000, 0.000, 0.000), Dy at (0.000, 0.000, 0.500), Sn at (0.250, 0.250, 0.750) and Ir at (0.250, 0.250, 0.250).

The value obtained for the energy of formation is -0.599 eV/atom.

Number 1: DFT total energy -0.37779 Ry per atom. Number 2: DFT total energy -0.40454 Ry per atom. Number 3: DFT total energy -0.58807 Ry per atom. Number 4: DFT total energy -0.45005 Ry per atom.